*i*
Compound: Rb3SiS3
Source: Alexandria via LeMat-Bulk
Functional: PBE
Structure: optimized geometry

Calculated values
The calculation puts the theoretical density at 2.290 Mg/m³. The calculation puts the density of states at the Fermi level at 6.0 states/eV/cell.

a = 9.805 Å, b = 9.805 Å, c = 6.621 Å
α = 90.00°, β = 90.00°, γ = 119.84°
Positions (direct):
Rb (0.185, 0.815, 0.750)
Rb (0.187, 0.372, 0.750)
Rb (0.372, 0.187, 0.250)
Rb (0.628, 0.813, 0.750)
Rb (0.813, 0.628, 0.250)
Rb (0.815, 0.185, 0.250)
Si (0.333, 0.667, 0.250)
Si (0.667, 0.333, 0.750)
S (0.209, 0.791, 0.250)
S (0.210, 0.419, 0.250)
S (0.419, 0.210, 0.750)
S (0.581, 0.790, 0.250)
S (0.790, 0.581, 0.750)
S (0.791, 0.209, 0.750)

*ii*
Compound: Rb3SiS3
Source: Alexandria via LeMat-Bulk
Functional: PBE
Structure: optimized geometry

Calculated values
The calculation puts the theoretical density at 2.771 Mg/m³. The calculation puts the density of states at the Fermi level at 12.3 states/eV/cell.

a = 10.376 Å, b = 10.376 Å, c = 13.142 Å
α = 90.00°, β = 90.00°, γ = 40.16°
Positions (direct):
Rb (0.025, 0.330, 0.869)
Rb (0.136, 0.864, 0.833)
Rb (0.170, 0.475, 0.631)
Rb (0.330, 0.025, 0.131)
Rb (0.364, 0.636, 0.333)
Rb (0.475, 0.170, 0.369)
Rb (0.525, 0.830, 0.631)
Rb (0.636, 0.364, 0.667)
Rb (0.670, 0.975, 0.869)
Rb (0.830, 0.525, 0.369)
Rb (0.864, 0.136, 0.167)
Rb (0.975, 0.670, 0.131)
Si (0.081, 0.081, 0.500)
Si (0.419, 0.419, 0.000)
Si (0.581, 0.581, 0.000)
Si (0.919, 0.919, 0.500)
S (0.002, 0.705, 0.391)
S (0.201, 0.799, 0.579)
S (0.205, 0.502, 0.891)
S (0.295, 0.998, 0.391)
S (0.299, 0.701, 0.079)
S (0.498, 0.795, 0.891)
S (0.502, 0.205, 0.109)
S (0.701, 0.299, 0.921)
S (0.705, 0.002, 0.609)
S (0.795, 0.498, 0.109)
S (0.799, 0.201, 0.421)
S (0.998, 0.295, 0.609)

Energetically preferred structure: *ii* | next structure: +0.034 eV/atom

*i*
Compound: Rb4SnS4
Source: Alexandria via LeMat-Bulk
Functional: PBE
Structure: optimized geometry

Calculated values
The calculation puts the theoretical density at 3.050 Mg/m³. The calculation puts the density of states at the Fermi level at 0.0 states/eV/cell.

a = 9.310 Å, b = 9.310 Å, c = 7.398 Å
α = 90.00°, β = 90.00°, γ = 90.00°
Positions (direct):
Rb (0.024, 0.250, 0.106)
Rb (0.250, 0.024, 0.606)
Rb (0.250, 0.476, 0.606)
Rb (0.476, 0.250, 0.106)
Rb (0.524, 0.750, 0.894)
Rb (0.750, 0.524, 0.394)
Rb (0.750, 0.976, 0.394)
Rb (0.976, 0.750, 0.894)
Sn (0.250, 0.750, 0.250)
Sn (0.750, 0.250, 0.750)
S (0.037, 0.750, 0.440)
S (0.250, 0.537, 0.060)
S (0.250, 0.963, 0.060)
S (0.463, 0.750, 0.440)
S (0.537, 0.250, 0.560)
S (0.750, 0.037, 0.940)
S (0.750, 0.463, 0.940)
S (0.963, 0.250, 0.560)

*ii*
Compound: Rb4SnS4
Source: Alexandria via LeMat-Bulk
Functional: PBE
Structure: optimized geometry

Calculated values
The calculation puts the theoretical density at 3.065 Mg/m³. The calculation puts the density of states at the Fermi level at 0.0 states/eV/cell.

a = 13.666 Å, b = 13.666 Å, c = 13.666 Å
α = 90.00°, β = 90.00°, γ = 90.00°
Positions (direct):
Rb (0.084, 0.136, 0.652)
Rb (0.084, 0.864, 0.348)
Rb (0.136, 0.348, 0.916)
Rb (0.136, 0.652, 0.084)
Rb (0.152, 0.364, 0.416)
Rb (0.152, 0.636, 0.584)
Rb (0.154, 0.154, 0.154)
Rb (0.154, 0.846, 0.846)
Rb (0.346, 0.346, 0.654)
Rb (0.346, 0.654, 0.346)
Rb (0.348, 0.084, 0.864)
Rb (0.348, 0.916, 0.136)
Rb (0.364, 0.416, 0.152)
Rb (0.364, 0.584, 0.848)
Rb (0.416, 0.152, 0.364)
Rb (0.416, 0.848, 0.636)
Rb (0.584, 0.152, 0.636)
Rb (0.584, 0.848, 0.364)
Rb (0.636, 0.416, 0.848)
Rb (0.636, 0.584, 0.152)
Rb (0.652, 0.084, 0.136)
Rb (0.652, 0.916, 0.864)
Rb (0.654, 0.346, 0.346)
Rb (0.654, 0.654, 0.654)
Rb (0.846, 0.154, 0.846)
Rb (0.846, 0.846, 0.154)
Rb (0.848, 0.364, 0.584)
Rb (0.848, 0.636, 0.416)
Rb (0.864, 0.348, 0.084)
Rb (0.864, 0.652, 0.916)
Rb (0.916, 0.136, 0.348)
Rb (0.916, 0.864, 0.652)
Sn (0.000, 0.000, 0.000)
Sn (0.000, 0.500, 0.250)
Sn (0.000, 0.500, 0.750)
Sn (0.250, 0.000, 0.500)
Sn (0.500, 0.250, 0.000)
Sn (0.500, 0.500, 0.500)
Sn (0.500, 0.750, 0.000)
Sn (0.750, 0.000, 0.500)
S (0.098, 0.388, 0.654)
S (0.098, 0.612, 0.346)
S (0.102, 0.102, 0.898)
S (0.102, 0.898, 0.102)
S (0.112, 0.402, 0.154)
S (0.112, 0.598, 0.846)
S (0.154, 0.112, 0.402)
S (0.154, 0.888, 0.598)
S (0.346, 0.098, 0.612)
S (0.346, 0.902, 0.388)
S (0.388, 0.346, 0.902)
S (0.388, 0.654, 0.098)
S (0.398, 0.398, 0.398)
S (0.398, 0.602, 0.602)
S (0.402, 0.154, 0.112)
S (0.402, 0.846, 0.888)
S (0.598, 0.154, 0.888)
S (0.598, 0.846, 0.112)
S (0.602, 0.398, 0.602)
S (0.602, 0.602, 0.398)
S (0.612, 0.346, 0.098)
S (0.612, 0.654, 0.902)
S (0.654, 0.098, 0.388)
S (0.654, 0.902, 0.612)
S (0.846, 0.112, 0.598)
S (0.846, 0.888, 0.402)
S (0.888, 0.402, 0.846)
S (0.888, 0.598, 0.154)
S (0.898, 0.102, 0.102)
S (0.898, 0.898, 0.898)
S (0.902, 0.388, 0.346)
S (0.902, 0.612, 0.654)

Energetically preferred structure: *ii* | next structure: +0.010 eV/atom